# Rb3HoV2O8 PBE+U optimized geometry
# calculated total energy: -94.614 eV/cell
data_Rb3HoV2O8
_chemical_formula_sum 'Rb3 Ho1 V2 O8'
_space_group_name_H-M_alt 'P -3 m 1'
_space_group_IT_number 164
_space_group_name_Hall '-P 3 2"'
_cell_length_a 6.0709
_cell_length_b 6.0709
_cell_length_c 8.0003
_cell_angle_alpha 90.00
_cell_angle_beta 90.00
_cell_angle_gamma 120.00
loop_
_atom_site_label
_atom_site_type_symbol
_atom_site_fract_x
_atom_site_fract_y
_atom_site_fract_z
Rb1 Rb 0.0000 0.0000 0.0000
Rb2 Rb 0.3333 0.6667 0.7053
Ho1 Ho 0.0000 0.0000 0.5000
V1 V 0.3333 0.6667 0.2608
O1 O 0.1747 0.3494 0.3346
O2 O 0.3333 0.6667 0.0502